# 1
VASP calculation (PBE) on a relaxed structure of CoSb2Pd.

Values from the calculation:
Crystal system: tetragonal
E in eV/atom: -4.9921
Spin magnetization in μB per cell: 0.00

a = 5.867 Å, b = 5.867 Å, c = 7.094 Å
α = 65.58°, β = 65.58°, γ = 90.00°
Atoms (fractional coordinates):
Sb (0.595, 0.125, 0.250)
Sb (0.375, 0.405, 0.750)
Sb (0.155, 0.625, 0.250)
Sb (0.875, 0.845, 0.750)
Co (0.250, 0.750, 0.500)
Co (0.500, 0.500, 0.000)
Pd (0.000, 0.000, 0.000)
Pd (0.750, 0.250, 0.500)



# 2
VASP calculation (PBE) on a relaxed structure of CoSb2Pd.

Values from the calculation:
Crystal system: trigonal
E in eV/atom: -4.8357
Spin magnetization in μB per cell: 1.47

a = 3.314 Å, b = 3.314 Å, c = 9.135 Å
α = 79.55°, β = 79.55°, γ = 60.00°
Atoms (fractional coordinates):
Sb (0.909, 0.909, 0.274)
Sb (0.091, 0.091, 0.726)
Co (0.000, 0.000, 0.000)
Pd (0.500, 0.500, 0.500)



# 3
VASP calculation (PBE) on a relaxed structure of ScCoSbPd.

Values from the calculation:
Crystal system: cubic
E in eV/atom: -6.2049
Spin magnetization in μB per cell: 0.40

a = 4.537 Å, b = 4.537 Å, c = 4.537 Å
α = 60.00°, β = 60.00°, γ = 60.00°
Atoms (fractional coordinates):
Co (0.000, 0.000, 0.000)
Pd (0.500, 0.500, 0.500)
Sb (0.750, 0.750, 0.750)
Sc (0.250, 0.250, 0.250)



# 4
VASP calculation (PBE) on a relaxed structure of SrCo2SbPd.

Values from the calculation:
Crystal system: tetragonal
E in eV/atom: -4.7748
Spin magnetization in μB per cell: 2.91

a = 4.802 Å, b = 5.080 Å, c = 4.802 Å
α = 90.00°, β = 90.00°, γ = 90.00°
Atoms (fractional coordinates):
Pd (0.000, 0.500, 0.000)
Sr (0.500, 0.500, 0.500)
Co (0.500, 0.000, 0.000)
Co (0.000, 0.000, 0.500)
Sb (0.000, 0.000, 0.000)